Record 1
The following is a PBE-GGA calculation of a relaxed LaTaAl2 crystal, from the Alexandria database.

* crystal system: tetragonal
* magnetic moment: 0.000 μB per atom
* energy relative to the elements: 0.155 eV per atom
* energy relative to the lowest polymorph listed for this composition: 0.307 eV per atom

a = 4.433 Å, b = 4.433 Å, c = 4.353 Å
α = 90.00°, β = 90.00°, γ = 90.00°
Space group P4/mmm (No. 123)
Unique sites:
La: 0.000 0.000 0.000 x1
Ta: 0.500 0.500 0.000 x1
Al: 0.000 0.500 0.500 x2

=====

Record 2
The following is a PBE-GGA calculation of a relaxed LaTa2Al crystal, from the Alexandria database.

* crystal system: tetragonal
* magnetic moment: 0.000 μB per atom
* energy relative to the elements: 0.235 eV per atom

a = 2.932 Å, b = 2.932 Å, c = 9.619 Å
α = 90.00°, β = 90.00°, γ = 90.00°
Space group P4/mmm (No. 123)
Unique sites:
La: 0.000 0.000 0.000 x1
Ta: 0.500 0.500 0.299 x2
Al: 0.000 0.000 0.500 x1

=====

Record 3
The following is a PBE-GGA calculation of a relaxed LaTa2Al crystal, from the Alexandria database.

* crystal system: tetragonal
* magnetic moment: 0.000 μB per atom
* energy relative to the elements: 0.600 eV per atom

a = 4.238 Å, b = 4.238 Å, c = 20.038 Å
α = 90.00°, β = 90.00°, γ = 90.00°
Space group I-42d (No. 122)
Unique sites:
La: 0.000 0.000 0.000 x4
Ta: 0.227 0.250 0.625 x8
Al: 0.000 0.000 0.500 x4

=====

Record 4
The following is a PBE-GGA calculation of a relaxed LaTaAl2 crystal, from the Alexandria database.

* crystal system: cubic
* magnetic moment: 0.341 μB per atom
* energy relative to the elements: 0.096 eV per atom
* energy relative to the lowest polymorph listed for this composition: 0.248 eV per atom

a = 6.990 Å, b = 6.990 Å, c = 6.990 Å
α = 90.00°, β = 90.00°, γ = 90.00°
Space group Fm-3m (No. 225)
Unique sites:
La: 0.000 0.000 0.000 x4
Ta: 0.000 0.000 0.500 x4
Al: 0.250 0.250 0.250 x8

=====

Record 5
The following is a PBE-GGA calculation of a relaxed LaTaAl2 crystal, from the Alexandria database.

* crystal system: cubic
* magnetic moment: 0.000 μB per atom
* energy relative to the elements: 0.324 eV per atom
* energy relative to the lowest polymorph listed for this composition: 0.476 eV per atom

a = 6.884 Å, b = 6.884 Å, c = 6.884 Å
α = 90.00°, β = 90.00°, γ = 90.00°
Space group F-43m (No. 216)
Unique sites:
La: 0.000 0.000 0.000 x4
Ta: 0.250 0.250 0.750 x4
Al: 0.000 0.000 0.500 x4
Al: 0.250 0.250 0.250 x4

=====

Record 6
The following is a PBE-GGA calculation of a relaxed La2TaAlV crystal, from the Alexandria database.

* crystal system: tetragonal
* magnetic moment: 1.268 μB per atom
* energy relative to the elements: 1.203 eV per atom

a = 5.705 Å, b = 5.705 Å, c = 4.701 Å
α = 90.00°, β = 90.00°, γ = 90.00°
Space group P4/mmm (No. 123)
Unique sites:
La: 0.000 0.500 0.000 x2
Ta: 0.000 0.000 0.500 x1
Al: 0.500 0.500 0.000 x1
V: 0.500 0.500 0.500 x1

=====

Record 7
The following is a PBE-GGA calculation of a relaxed LaTb2Al crystal, from the Alexandria database.

* crystal system: tetragonal
* magnetic moment: 0.000 μB per atom
* energy relative to the elements: -0.162 eV per atom
* energy relative to the lowest polymorph listed for this composition: 0.021 eV per atom

a = 4.862 Å, b = 4.862 Å, c = 4.813 Å
α = 90.00°, β = 90.00°, γ = 90.00°
Space group P4/mmm (No. 123)
Unique sites:
La: 0.000 0.000 0.000 x1
Tb: 0.000 0.500 0.500 x2
Al: 0.500 0.500 0.000 x1

=====

Record 8
The following is a PBE-GGA calculation of a relaxed La3Tb12Al crystal, from the Alexandria database.

* crystal system: tetragonal
* magnetic moment: 0.001 μB per atom
* energy relative to the elements: -0.003 eV per atom

a = 4.996 Å, b = 4.996 Å, c = 20.353 Å
α = 90.00°, β = 90.00°, γ = 90.00°
Space group P4/mmm (No. 123)
Unique sites:
La: 0.000 0.000 0.000 x1
La: 0.000 0.000 0.253 x2
Tb: 0.000 0.500 0.128 x4
Tb: 0.000 0.500 0.386 x4
Tb: 0.500 0.500 0.000 x1
Tb: 0.500 0.500 0.260 x2
Tb: 0.500 0.500 0.500 x1
Al: 0.000 0.000 0.500 x1

=====

Record 9
The following is a PBE-GGA calculation of a relaxed LaTb2Al crystal, from the Alexandria database.

* crystal system: cubic
* magnetic moment: 0.000 μB per atom
* energy relative to the elements: 0.003 eV per atom
* energy relative to the lowest polymorph listed for this composition: 0.187 eV per atom

a = 7.649 Å, b = 7.649 Å, c = 7.649 Å
α = 90.00°, β = 90.00°, γ = 90.00°
Space group Fm-3m (No. 225)
Unique sites:
La: 0.000 0.000 0.000 x4
Tb: 0.250 0.250 0.250 x8
Al: 0.000 0.000 0.500 x4

=====

Record 10
The following is a PBE-GGA calculation of a relaxed La12TbAl3 crystal, from the Alexandria database.

* crystal system: tetragonal
* magnetic moment: 0.000 μB per atom
* energy relative to the elements: -0.126 eV per atom

a = 5.016 Å, b = 5.016 Å, c = 20.299 Å
α = 90.00°, β = 90.00°, γ = 90.00°
Space group P4/mmm (No. 123)
Unique sites:
La: 0.000 0.000 0.000 x1
La: 0.000 0.000 0.243 x2
La: 0.000 0.000 0.500 x1
La: 0.000 0.500 0.122 x4
La: 0.000 0.500 0.366 x4
Tb: 0.500 0.500 0.500 x1
Al: 0.500 0.500 0.000 x1
Al: 0.500 0.500 0.244 x2

=====

Record 11
The following is a PBE-GGA calculation of a relaxed LaTbAl crystal, from the Alexandria database.

* crystal system: monoclinic
* magnetic moment: 0.142 μB per atom
* energy relative to the elements: -0.201 eV per atom
* energy relative to the lowest polymorph listed for this composition: 0.021 eV per atom

a = 6.741 Å, b = 6.741 Å, c = 8.030 Å
α = 90.00°, β = 90.23°, γ = 90.00°
Space group C2/m (No. 12)
Unique sites:
La: 0.249 0.000 0.147 x4
Tb: 0.000 0.250 0.500 x4
Al: 0.248 0.500 0.249 x4

=====

Record 12
The following is a PBE-GGA calculation of a relaxed LaTbAl crystal, from the Alexandria database.

* crystal system: trigonal
* magnetic moment: 0.000 μB per atom
* energy relative to the elements: -0.009 eV per atom
* energy relative to the lowest polymorph listed for this composition: 0.213 eV per atom

a = 3.5925 Å, b = 3.5925 Å, c = 23.8282 Å
α = 90.00°, β = 90.00°, γ = 120.00°
Space group R3m (No. 160, hexagonal axes)
Unique sites:
La: 0.0000 0.0000 0.0000 x3
Tb: 0.0000 0.0000 0.7948 x3
Al: 0.0000 0.0000 0.2257 x3

=====

Record 13
The following is a PBE-GGA calculation of a relaxed La4Tb3Al4 crystal, from the Alexandria database.

* crystal system: orthorhombic
* magnetic moment: 0.000 μB per atom
* energy relative to the elements: -0.090 eV per atom

a = 4.532 Å, b = 9.163 Å, c = 16.087 Å
α = 90.00°, β = 90.00°, γ = 90.00°
Space group Immm (No. 71)
Unique sites:
La: 0.000 0.169 0.162 x8
Tb: 0.000 0.000 0.389 x4
Tb: 0.000 0.500 0.500 x2
Al: 0.000 0.353 0.000 x4
Al: 0.000 0.500 0.241 x4

=====

Record 14
The following is a PBE-GGA calculation of a relaxed La3TbAl4 crystal, from the Alexandria database.

* crystal system: tetragonal
* magnetic moment: 0.000 μB per atom
* energy relative to the elements: -0.369 eV per atom

a = 3.752 Å, b = 3.752 Å, c = 15.048 Å
α = 90.00°, β = 90.00°, γ = 90.00°
Space group P4/mmm (No. 123)
Unique sites:
La: 0.000 0.000 0.000 x1
La: 0.000 0.000 0.256 x2
Tb: 0.000 0.000 0.500 x1
Al: 0.500 0.500 0.128 x2
Al: 0.500 0.500 0.389 x2

=====

Record 15
The following is a PBE-GGA calculation of a relaxed LaTb4Al5 crystal, from the Alexandria database.

* crystal system: tetragonal
* magnetic moment: 0.000 μB per atom
* energy relative to the elements: -0.389 eV per atom

a = 3.650 Å, b = 3.650 Å, c = 18.289 Å
α = 90.00°, β = 90.00°, γ = 90.00°
Space group P4/mmm (No. 123)
Unique sites:
La: 0.000 0.000 0.000 x1
Tb: 0.000 0.000 0.207 x2
Tb: 0.000 0.000 0.402 x2
Al: 0.500 0.500 0.112 x2
Al: 0.500 0.500 0.304 x2
Al: 0.500 0.500 0.500 x1

=====

Record 16
The following is a PBE-GGA calculation of a relaxed LaTbAl3 crystal, from the Alexandria database.

* crystal system: orthorhombic
* magnetic moment: 0.000 μB per atom
* energy relative to the elements: -0.423 eV per atom

a = 4.292 Å, b = 26.914 Å, c = 4.406 Å
α = 90.00°, β = 90.00°, γ = 90.00°
Space group Cmcm (No. 63)
Unique sites:
La: 0.000 0.074 0.250 x4
Tb: 0.000 0.206 0.750 x4
Al: 0.000 0.324 0.750 x4
Al: 0.000 0.379 0.250 x4
Al: 0.000 0.476 0.250 x4

=====

Record 17
The following is a PBE-GGA calculation of a relaxed LaTbAl crystal, from the Alexandria database.

* crystal system: trigonal
* magnetic moment: 0.000 μB per atom
* energy relative to the elements: -0.148 eV per atom
* energy relative to the lowest polymorph listed for this composition: 0.075 eV per atom

a = 5.1472 Å, b = 5.1472 Å, c = 3.7048 Å
α = 90.00°, β = 90.00°, γ = 120.00°
Space group P3m1 (No. 156)
Unique sites:
La: 0.0000 0.0000 0.0000 x1
Tb: 0.6667 0.3333 0.5852 x1
Al: 0.3333 0.6667 0.3573 x1

=====

Record 18
The following is a PBE-GGA calculation of a relaxed LaTb2Al crystal, from the Alexandria database.

* crystal system: orthorhombic
* magnetic moment: 0.000 μB per atom
* energy relative to the elements: -0.181 eV per atom
* energy relative to the lowest polymorph listed for this composition: 0.003 eV per atom

a = 5.361 Å, b = 6.977 Å, c = 12.159 Å
α = 90.00°, β = 90.00°, γ = 90.00°
Space group Amm2 (No. 38)
Unique sites:
La: 0.000 0.228 0.000 x4
Tb: 0.000 0.000 0.236 x2
Tb: 0.500 0.000 0.589 x2
Tb: 0.500 0.236 0.824 x4
Al: 0.000 0.000 0.745 x2
Al: 0.500 0.000 0.088 x2

=====

Record 19
The following is a PBE-GGA calculation of a relaxed LaTb2Al crystal, from the Alexandria database.

* crystal system: tetragonal
* magnetic moment: 0.000 μB per atom
* energy relative to the elements: -0.183 eV per atom
* energy relative to the lowest polymorph listed for this composition: 0.000 eV per atom

a = 3.560 Å, b = 3.560 Å, c = 9.212 Å
α = 90.00°, β = 90.00°, γ = 90.00°
Space group P4/mmm (No. 123)
Unique sites:
La: 0.000 0.000 0.000 x1
Tb: 0.500 0.500 0.294 x2
Al: 0.000 0.000 0.500 x1

=====

Record 20
The following is a PBE-GGA calculation of a relaxed LaTb2Al crystal, from the Alexandria database.

* crystal system: trigonal
* magnetic moment: 0.000 μB per atom
* energy relative to the elements: 0.052 eV per atom
* energy relative to the lowest polymorph listed for this composition: 0.236 eV per atom

a = 3.4998 Å, b = 3.4998 Å, c = 34.5585 Å
α = 90.00°, β = 90.00°, γ = 120.00°
Space group R-3m (No. 166, hexagonal axes)
Unique sites:
La: 0.0000 0.0000 0.0000 x3
Tb: 0.0000 0.0000 0.1012 x6
Al: 0.0000 0.0000 0.5000 x3

=====

Record 21
The following is a PBE-GGA calculation of a relaxed LaTb8Al2 crystal, from the Alexandria database.

* crystal system: monoclinic
* magnetic moment: 0.000 μB per atom
* energy relative to the elements: 0.007 eV per atom

a = 8.744 Å, b = 14.632 Å, c = 5.713 Å
α = 90.00°, β = 112.96°, γ = 90.00°
Space group C2/m (No. 12)
Unique sites:
La: 0.000 0.000 0.000 x2
Tb: 0.000 0.230 0.000 x4
Tb: 0.089 0.500 0.793 x4
Tb: 0.205 0.119 0.612 x8
Al: 0.000 0.308 0.500 x4

=====

Record 22
The following is a PBE-GGA calculation of a relaxed La6TbAl crystal, from the Alexandria database.

* crystal system: tetragonal
* magnetic moment: 0.000 μB per atom
* energy relative to the elements: -0.069 eV per atom
* energy relative to the lowest polymorph listed for this composition: 0.000 eV per atom

a = 5.071 Å, b = 5.071 Å, c = 10.326 Å
α = 90.00°, β = 90.00°, γ = 90.00°
Space group P4/mmm (No. 123)
Unique sites:
La: 0.000 0.000 0.000 x1
La: 0.000 0.000 0.500 x1
La: 0.000 0.500 0.239 x4
Tb: 0.500 0.500 0.500 x1
Al: 0.500 0.500 0.000 x1

=====

Record 23
The following is a PBE-GGA calculation of a relaxed La6TbAl2 crystal, from the Alexandria database.

* crystal system: monoclinic
* magnetic moment: 0.000 μB per atom
* energy relative to the elements: -0.149 eV per atom

a = 13.272 Å, b = 3.838 Å, c = 11.964 Å
α = 90.00°, β = 108.16°, γ = 90.00°
Space group C2/m (No. 12)
Unique sites:
La: 0.031 0.000 0.328 x4
La: 0.179 0.500 0.877 x4
La: 0.193 0.500 0.599 x4
Tb: 0.000 0.000 0.000 x2
Al: 0.149 0.500 0.186 x4

=====

Record 24
The following is a PBE-GGA calculation of a relaxed LaTb4Al2 crystal, from the Alexandria database.

* crystal system: trigonal
* magnetic moment: 0.000 μB per atom
* energy relative to the elements: 0.088 eV per atom
* energy relative to the lowest polymorph listed for this composition: 0.293 eV per atom

a = 5.0385 Å, b = 5.0385 Å, c = 30.8530 Å
α = 90.00°, β = 90.00°, γ = 120.00°
Space group R-3m (No. 166, hexagonal axes)
Unique sites:
La: 0.0000 0.0000 0.0000 x3
Tb: 0.0000 0.0000 0.2025 x6
Tb: 0.0000 0.0000 0.3977 x6
Al: 0.0000 0.0000 0.1009 x6

=====

Record 25
The following is a PBE-GGA calculation of a relaxed LaTb4Al crystal, from the Alexandria database.

* crystal system: trigonal
* magnetic moment: 0.000 μB per atom
* energy relative to the elements: -0.048 eV per atom
* energy relative to the lowest polymorph listed for this composition: 0.059 eV per atom

a = 3.6355 Å, b = 3.6355 Å, c = 48.6555 Å
α = 90.00°, β = 90.00°, γ = 120.00°
Space group R-3m (No. 166, hexagonal axes)
Unique sites:
La: 0.0000 0.0000 0.0000 x3
Tb: 0.0000 0.0000 0.1206 x6
Tb: 0.0000 0.0000 0.3940 x6
Al: 0.0000 0.0000 0.5000 x3

=====

Record 26
The following is a PBE-GGA calculation of a relaxed LaTb2Al6 crystal, from the Alexandria database.

* crystal system: hexagonal
* magnetic moment: 0.000 μB per atom
* energy relative to the elements: -0.469 eV per atom
* energy relative to the lowest polymorph listed for this composition: 0.000 eV per atom

a = 7.9682 Å, b = 7.9682 Å, c = 3.6289 Å
α = 90.00°, β = 90.00°, γ = 120.00°
Space group P6/mmm (No. 191)
Unique sites:
La: 0.0000 0.0000 0.0000 x1
Tb: 0.3333 0.6667 0.0000 x2
Al: 0.0000 0.3363 0.5000 x6